DFT (PBE-GGA) results for NaTe2RuO8 after structural relaxation.

Calculated values
**Total DFT energy (no corrections)**: -68.04 eV/cell
**Space group**: No. 10
**Fermi-level density of states**: 2.494 states/eV/f.u.
**Energy relative to the elements, uncorrected**: -0.958 eV/atom

Cell lengths 4.778, 4.775, 6.469 Å; angles 90.00, 90.00, 87.41 degrees
Atoms (fractional coordinates):
Te 0.500 0.500 0.747
Te 0.500 0.500 0.253
O 0.295 0.292 0.000
O 0.203 0.794 0.229
O 0.203 0.794 0.771
O 0.797 0.206 0.771
O 0.677 0.679 0.500
O 0.797 0.206 0.229
O 0.323 0.321 0.500
O 0.705 0.708 0.000
Ru 0.000 0.000 0.000
Na 0.000 0.000 0.500